A plane-wave DFT calculation with PBE was carried out for an optimized crystal structure of Cu6TeSe4.

Lattice parameters (Å, degrees): 7.1355 6.8984 12.1034 72.01 72.86 58.86
Closest atoms and distances in Å follow each position.
Fractional positions:
Cu 0.4428 0.5161 0.4529  2 Se 2.34
Cu 0.8263 0.1952 0.9685  2 Se 2.36, 1 Te 2.62, 1 Cu 2.64
Te 0.6852 0.7699 0.3757  4 Cu 2.62-2.85
Se 0.3287 0.9454 0.6439  4 Cu 2.35-2.37
Cu 0.5882 0.0161 0.9529  2 Se 2.34
Cu 0.8009 0.8294 0.1396  2 Se 2.34-2.35
Se 0.4795 0.7400 0.9692  4 Cu 2.34-2.44
Se 0.6981 0.2559 0.7959  4 Cu 2.34-2.39
Se 0.9273 0.6863 0.6735  4 Cu 2.34-2.51
Cu 0.2301 0.3294 0.6396  2 Se 2.34-2.35
Se 0.8113 0.2400 0.4692  4 Cu 2.34-2.44
Se 0.0820 0.4454 0.1439  4 Cu 2.35-2.37
Se 0.7130 0.1863 0.1735  4 Cu 2.34-2.51
Cu 0.9593 0.0291 0.6523  4 Se 2.37-2.44
Cu 0.8454 0.5605 0.0091  2 Se 2.36-2.37, 1 Cu 2.63, 1 Te 2.64
Cu 0.5850 0.0605 0.5091  2 Se 2.36-2.37, 1 Cu 2.63, 1 Te 2.64
Cu 0.0100 0.6952 0.4685  2 Se 2.36, 1 Te 2.62, 1 Cu 2.64
Se 0.2501 0.7559 0.2959  4 Cu 2.34-2.39
Cu 0.9897 0.1585 0.2735  4 Se 2.37-2.51
Cu 0.5782 0.6585 0.7735  4 Se 2.37-2.51
Te 0.1692 0.2699 0.8757  4 Cu 2.62-2.85
Cu 0.3593 0.5291 0.1523  4 Se 2.37-2.44

**Energy relative to the elements, uncorrected**: -0.4 kcal/mol of atoms
**Total magnetic moment**: 0.0 μB/f.u.
**Density**: 5.7 Mg/m³
**E**: -3.806 eV/atom